BaTa4Mn | the Alexandria database | PBE-GGA | optimized geometry; energy relative to the elements = 910 meV/atom; D(E_F) = 8.464 states/eV per cell; mass density = 11636 kg/m3; uncorrected energy = -8.840 eV per atom; symmetry = F-43m, No. 216
1.0
0.000 4.028 4.028
4.028 0.000 4.028
4.028 4.028 0.000
Ba Ta Mn
1 4 1
Direct
0.750 0.750 0.750
0.375 0.876 0.375
0.876 0.375 0.375
0.375 0.375 0.876
0.375 0.375 0.375
0.000 0.000 0.000